(1)
Density functional theory data (PBE-GGA) for an optimized crystal structure of RbLuAlAu.

POSCAR file:
```
RbLuAlAu
1.0
0.0000 3.6602 3.6602
3.6602 0.0000 3.6602
3.6602 3.6602 0.0000
Rb Lu Al Au
1 1 1 1
Direct
0.0000 0.0000 0.0000
0.2500 0.2500 0.2500
0.5000 0.5000 0.5000
0.7500 0.7500 0.7500
```

Results
The total moment is 0.000 μB per cell. The distance to the lowest polymorph of the same formula comes out at 125 meV per atom.



(2)
Density functional theory data (PBE-GGA) for an optimized crystal structure of RbLuAlAu.

POSCAR file:
```
RbLuAlAu
1.0
0.0000 3.5901 3.5901
3.5901 0.0000 3.5901
3.5901 3.5901 0.0000
Rb Lu Al Au
1 1 1 1
Direct
0.0000 0.0000 0.0000
0.2500 0.2500 0.2500
0.7500 0.7500 0.7500
0.5000 0.5000 0.5000
```

Results
The total moment is 0.000 μB per cell. The distance to the lowest polymorph of the same formula comes out at 0 meV per atom.



(3)
Density functional theory data (PBE-GGA) for an optimized crystal structure of RbLuAlAu.

POSCAR file:
```
RbLuAlAu
1.0
0.0000 3.7742 3.7742
3.7742 0.0000 3.7742
3.7742 3.7742 0.0000
Rb Lu Al Au
1 1 1 1
Direct
0.0000 0.0000 0.0000
0.5000 0.5000 0.5000
0.2500 0.2500 0.2500
0.7500 0.7500 0.7500
```

Results
The total moment is 0.000 μB per cell. The distance to the lowest polymorph of the same formula comes out at 16 meV per atom.



(4)
Density functional theory data (PBE-GGA) for an optimized crystal structure of MgAl4Au2.

POSCAR file:
```
MgAl4Au2
1.0
-4.0365 4.0365 2.6505
4.0365 -4.0365 2.6505
4.0365 4.0365 -2.6505
Mg Al Au
1 4 2
Direct
0.0000 0.0000 0.0000
0.2706 0.5000 0.7706
0.5000 0.2706 0.7706
0.5000 0.7294 0.2294
0.7294 0.5000 0.2294
0.2500 0.7500 0.5000
0.7500 0.2500 0.5000
```

Results
The value obtained for the calculated total energy is -21.972 eV per cell.



(5)
Density functional theory data (PBE-GGA) for an optimized crystal structure of MgAlAu.

POSCAR file:
```
MgAlAu
1.0
0.0000 3.1172 3.1172
3.1172 0.0000 3.1172
3.1172 3.1172 0.0000
Mg Al Au
1 1 1
Direct
0.0000 0.0000 0.0000
0.5000 0.5000 0.5000
0.7500 0.7500 0.7500
```

Results
The value obtained for the calculated total energy is -9.845 eV per cell.



(6)
Density functional theory data (PBE-GGA) for an optimized crystal structure of Na4MgAlAu2.

POSCAR file:
```
Na4MgAlAu2
1.0
4.8737 0.0000 0.0000
0.0000 4.8737 0.0000
0.0000 0.0000 6.8650
Na Mg Al Au
4 1 1 2
Direct
0.0000 0.0000 0.0000
0.0000 0.5000 0.7457
0.5000 0.0000 0.2543
0.5000 0.5000 0.5000
0.5000 0.5000 0.0000
0.0000 0.0000 0.5000
0.0000 0.5000 0.2653
0.5000 0.0000 0.7347
```

Results
The value obtained for the calculated total energy is -18.320 eV per cell.



(7)
Density functional theory data (PBE-GGA) for an optimized crystal structure of MgAlNiAu.

POSCAR file:
```
MgAlNiAu
1.0
0.0000 3.1183 3.1183
3.1183 0.0000 3.1183
3.1183 3.1183 0.0000
Mg Al Ni Au
1 1 1 1
Direct
0.0000 0.0000 0.0000
0.2500 0.2500 0.2500
0.5000 0.5000 0.5000
0.7500 0.7500 0.7500
```

Results
The total moment is 0.000 μB per cell. The value obtained for the calculated total energy is -15.162 eV per cell.



(8)
Density functional theory data (PBE-GGA) for an optimized crystal structure of PrMg4AlAu2.

POSCAR file:
```
PrMg4AlAu2
1.0
6.2242 0.0000 0.0000
0.0000 2.8041 7.6378
0.0000 -2.8041 7.6378
Pr Mg Al Au
1 4 1 2
Direct
0.0000 0.0000 0.0000
0.2517 0.7800 0.7800
0.2689 0.3431 0.3431
0.7311 0.3431 0.3431
0.7483 0.7800 0.7800
0.0000 0.4791 0.4791
0.0000 0.2044 0.2044
0.0000 0.6395 0.6395
```

Results
The total moment is 0.002 μB per cell. The value obtained for the calculated total energy is -19.282 eV per cell.